This record from the Alexandria database describes Sr3HoSn6 after structural relaxation. The functional is PBE.

* total energy: -0.2869 Ry per atom
* DOS(E_F): 23.56 states/eV/cell

Lattice parameters (Å, degrees): 13.0220 13.0220 12.9350 90.00 90.00 120.00
Space group R-3c (No. 167, hexagonal axes)
Asymmetric unit:
1 Sr 0.0000 0.4332 0.2500 x18
2 Ho 0.0000 0.0000 0.0000 x6
3 Sn 0.0658 0.2109 0.3453 x36